[1]
! SrPb2W PBE relaxed; values from VASP
! Calculated formation energy = 743 meV per atom
! DOS at the Fermi energy = 2.5 states/eV/f.u.
! Energy relative to the lowest polymorph listed for this composition = 292 meV/atom
&SYSTEM
  ibrav = 0, nat = 4, ntyp = 3
/
ATOMIC_SPECIES
Sr 87.62 Sr.upf
Pb 207.20 Pb.upf
W 183.84 W.upf
CELL_PARAMETERS angstrom
1.968 -2.449 0.000
1.968 2.449 0.000
0.000 0.000 11.671
ATOMIC_POSITIONS angstrom
Sr 0.000 0.000 0.000
Pb 0.000 0.000 4.838
Pb 1.968 0.000 8.583
W 1.968 0.000 2.539



[2]
! LaN2O PBE relaxed; values from VASP
! Formation energy without anion corrections = 0.06 eV/atom
! DOS at the Fermi energy = 1.1 states/eV/f.u.
! Energy relative to the lowest polymorph listed for this composition = 1357 meV/atom
&SYSTEM
  ibrav = 0, nat = 8, ntyp = 3
/
ATOMIC_SPECIES
La 138.91 La.upf
N 14.01 N.upf
O 16.00 O.upf
CELL_PARAMETERS angstrom
-1.758 1.758 8.229
1.758 -1.758 8.229
1.758 1.758 -8.229
ATOMIC_POSITIONS angstrom
La 0.000 0.000 0.000
La 0.000 1.758 4.115
N 0.879 1.466 -2.057
N 2.050 0.879 2.057
N 0.879 0.292 6.172
N -0.292 0.879 10.286
O 1.758 0.000 4.115
O 0.000 0.000 8.229



[3]
! Pm12AgRh6 PBE relaxed; values from VASP
! Calculated formation energy = -492 meV per atom
! DOS at the Fermi energy = 16.0 states/eV/f.u.
! Energy relative to the lowest polymorph listed for this composition = 0 meV/atom
&SYSTEM
  ibrav = 0, nat = 19, ntyp = 3
/
ATOMIC_SPECIES
Pm 145.00 Pm.upf
Ag 107.87 Ag.upf
Rh 102.91 Rh.upf
CELL_PARAMETERS angstrom
-5.060 5.060 5.060
5.060 -5.060 5.060
5.060 5.060 -5.060
ATOMIC_POSITIONS angstrom
Pm 5.060 -1.984 3.174
Pm 3.076 1.886 0.000
Pm 7.044 1.886 0.000
Pm 3.174 5.060 -1.984
Pm 1.886 0.000 3.076
Pm 0.000 3.076 1.886
Pm 5.060 1.984 3.174
Pm 3.174 5.060 1.984
Pm 1.886 0.000 7.044
Pm -1.984 3.174 5.060
Pm 1.984 3.174 5.060
Pm 0.000 7.044 1.886
Ag 0.000 0.000 0.000
Rh 5.060 0.000 1.345
Rh 5.060 3.715 0.000
Rh 1.345 5.060 0.000
Rh 3.715 0.000 5.060
Rh 0.000 1.345 5.060
Rh 0.000 5.060 3.715



[4]
! AgSn PBE relaxed; values from VASP
! Calculated formation energy = 83 meV per atom
! DOS at the Fermi energy = 0.6 states/eV/f.u.
&SYSTEM
  ibrav = 0, nat = 4, ntyp = 2
/
ATOMIC_SPECIES
Ag 107.87 Ag.upf
Sn 118.71 Sn.upf
CELL_PARAMETERS angstrom
3.440 0.000 0.000
0.000 5.294 0.000
0.000 0.000 4.938
ATOMIC_POSITIONS angstrom
Ag 0.860 1.323 0.468
Ag 2.580 3.970 4.470
Sn 0.860 3.970 1.959
Sn 2.580 1.323 2.980